Material: BeTlBr2
Method: DFT, PBE
State: relaxed

Calculated density, g cm⁻³: 5.64
Fermi-level density of states, states/eV/atom: 0.3505
Energy above the most stable polymorph in this dataset, meV per atom: 161

Cell: 3.473 3.473 9.115 Å, 90.00 90.00 90.00°
Space group P4mm (No. 99)
One atom of each set of equivalent atoms:
Be  0.000  0.000  0.000 (multiplicity 1)
Tl  0.500  0.500  0.522 (multiplicity 1)
Br  0.000  0.000  0.225 (multiplicity 1)
Br  0.500  0.500  0.914 (multiplicity 1)


Material: Ac2TeSe2
Method: DFT, PBE
State: relaxed

Calculated density, g cm⁻³: 6.33
Fermi-level density of states, states/eV/atom: 0.0000
Energy above the most stable polymorph in this dataset, meV per atom: 153

Cell: 10.812 11.661 7.657 Å, 90.00 126.52 90.00°
Space group C2/c (No. 15)
One atom of each set of equivalent atoms:
Ac  0.000  0.094  0.250 (multiplicity 4)
Ac  0.000  0.339  0.750 (multiplicity 4)
Te  0.000  0.374  0.250 (multiplicity 4)
Se  0.159  0.118  0.035 (multiplicity 8)


Material: Zn3CdAs
Method: DFT, PBE
State: relaxed

Calculated density, g cm⁻³: 5.18
Fermi-level density of states, states/eV/atom: 0.8567
Formation energy, eV per formula unit: 3.61
Energy above the most stable polymorph in this dataset, meV per atom: 389

Cell: 4.973 4.973 4.973 Å, 90.00 90.00 90.00°
Space group Pm-3m (No. 221)
One atom of each set of equivalent atoms:
Zn  0.000  0.000  0.500 (multiplicity 3)
Cd  0.000  0.000  0.000 (multiplicity 1)
As  0.500  0.500  0.500 (multiplicity 1)


Material: NaAlInHg
Method: DFT, PBE
State: relaxed

Calculated density, g cm⁻³: 6.61
Fermi-level density of states, states/eV/atom: 0.5550
Formation energy, eV per formula unit: -0.01

Cell: 7.159 7.159 7.159 Å, 90.00 90.00 90.00°
Space group F-43m (No. 216)
One atom of each set of equivalent atoms:
Na  0.000  0.000  0.000 (multiplicity 4)
Al  0.000  0.000  0.500 (multiplicity 4)
In  0.250  0.250  0.250 (multiplicity 4)
Hg  0.250  0.250  0.750 (multiplicity 4)